Record 1
An optimized crystal structure of ZnCuSe2. Source: Alexandria via LeMat-Bulk, functional PBE-GGA.

- Formation energy (no corrections): -0.93 eV/f.u.
- Total DFT energy (no corrections): -13.264 eV per formula unit
- Total magnetization: 0.00 μB per atom

Structure (POSCAR):
```
ZnCuSe2
1.0
4.203 -5.315 0.000
4.203 5.315 0.000
-3.147 0.000 4.194
Zn Cu Se
2 2 4
direct
0.212 0.788 0.750
0.788 0.212 0.250
0.491 0.509 0.750
0.509 0.491 0.250
0.149 0.432 0.279
0.432 0.149 0.779
0.568 0.851 0.221
0.851 0.568 0.721
```

***

Record 2
An optimized crystal structure of ZnCuSe2. Source: Alexandria via LeMat-Bulk, functional PBE-GGA.

- Formation energy (no corrections): 0.78 eV/f.u.
- Total DFT energy (no corrections): -11.558 eV per formula unit
- Total magnetization: 0.00 μB per atom

Structure (POSCAR):
```
ZnCuSe2
1.0
3.602 0.000 0.000
0.000 3.602 0.000
0.000 0.000 5.561
Zn Cu Se
1 1 2
direct
0.000 0.000 0.000
0.000 0.000 0.500
0.500 0.500 0.253
0.500 0.500 0.747
```

***

Record 3
An optimized crystal structure of Zn3CuSe. Source: Alexandria via LeMat-Bulk, functional PBE-GGA.

- E above lowest polymorph: 0 meV per atom
- Formation energy (no corrections): 1.42 eV/f.u.
- Total DFT energy (no corrections): -9.982 eV per formula unit
- Total magnetization: 0.00 μB per atom

Structure (POSCAR):
```
Zn3CuSe
1.0
4.645 0.000 0.000
0.000 4.645 0.000
0.000 0.000 4.645
Zn Cu Se
3 1 1
direct
0.000 0.000 0.500
0.000 0.500 0.000
0.500 0.000 0.000
0.000 0.000 0.000
0.500 0.500 0.500
```

***

Record 4
An optimized crystal structure of ZnCuSe2. Source: Alexandria via LeMat-Bulk, functional PBE-GGA.

- Formation energy (no corrections): -1.54 eV/f.u.
- Total DFT energy (no corrections): -13.878 eV per formula unit
- Total magnetization: 0.00 μB per atom

Structure (POSCAR):
```
ZnCuSe2
1.0
3.409 -1.969 0.000
3.409 1.969 0.000
-0.001 0.000 6.621
Zn Cu Se
1 1 2
direct
0.000 0.000 0.000
0.665 0.665 0.494
0.667 0.667 0.860
0.999 0.999 0.374
```

***

Record 5
An optimized crystal structure of ZnCuSe2. Source: Alexandria via LeMat-Bulk, functional PBE-GGA.

- Formation energy (no corrections): -0.95 eV/f.u.
- Total DFT energy (no corrections): -13.288 eV per formula unit
- Total magnetization: 0.00 μB per atom

Structure (POSCAR):
```
ZnCuSe2
1.0
3.495 -1.826 0.000
3.495 1.826 0.000
-2.546 0.000 6.130
Zn Cu Se
1 1 2
direct
0.000 0.000 0.000
0.500 0.500 0.500
0.182 0.182 0.748
0.818 0.818 0.252
```

***

Record 6
An optimized crystal structure of ZnCuSe2. Source: Alexandria via LeMat-Bulk, functional PBE-GGA.

- Formation energy (no corrections): -0.84 eV/f.u.
- Total DFT energy (no corrections): -13.180 eV per formula unit
- Total magnetization: 0.00 μB per atom

Structure (POSCAR):
```
ZnCuSe2
1.0
-2.628 2.628 5.253
2.628 -2.628 5.253
2.628 2.628 -5.253
Zn Cu Se
2 2 4
direct
0.375 0.625 0.750
0.625 0.375 0.250
0.125 0.875 0.250
0.875 0.125 0.750
0.119 0.369 0.750
0.369 0.119 0.250
0.631 0.881 0.750
0.881 0.631 0.250
```

***

Record 7
An optimized crystal structure of ZnCuSe2. Source: Alexandria via LeMat-Bulk, functional PBE-GGA.

- Formation energy (no corrections): -0.89 eV/f.u.
- Total DFT energy (no corrections): -13.226 eV per formula unit
- Total magnetization: 0.00 μB per atom

Structure (POSCAR):
```
ZnCuSe2
1.0
3.718 0.000 0.000
0.000 3.718 0.000
0.000 0.000 5.256
Zn Cu Se
1 1 2
direct
0.000 0.000 0.000
0.500 0.500 0.500
0.000 0.000 0.500
0.500 0.500 0.000
```

***

Record 8
An optimized crystal structure of ZnCuSe2. Source: Alexandria via LeMat-Bulk, functional PBE-GGA.

- Formation energy (no corrections): -0.97 eV/f.u.
- Total DFT energy (no corrections): -13.313 eV per formula unit
- Total magnetization: 0.00 μB per atom

Structure (POSCAR):
```
ZnCuSe2
1.0
6.299 0.000 0.000
0.000 3.896 0.000
0.000 0.000 14.415
Zn Cu Se
4 4 8
direct
0.048 0.250 0.072
0.452 0.750 0.572
0.548 0.250 0.428
0.952 0.750 0.928
0.238 0.250 0.704
0.262 0.750 0.204
0.738 0.250 0.796
0.762 0.750 0.296
0.023 0.750 0.758
0.224 0.250 0.532
0.276 0.750 0.032
0.477 0.250 0.258
0.523 0.750 0.742
0.724 0.250 0.968
0.776 0.750 0.468
0.977 0.250 0.242
```

***

Record 9
An optimized crystal structure of ZnCuSe2. Source: Alexandria via LeMat-Bulk, functional PBE-GGA.

- Formation energy (no corrections): -0.44 eV/f.u.
- Total DFT energy (no corrections): -12.779 eV per formula unit
- Total magnetization: 0.00 μB per atom

Structure (POSCAR):
```
ZnCuSe2
1.0
1.901 1.097 7.348
-1.901 1.097 7.348
0.000 -2.195 7.348
Zn Cu Se
1 1 2
direct
0.000 0.000 0.000
0.500 0.500 0.500
0.398 0.398 0.398
0.602 0.602 0.602
```

***

Record 10
An optimized crystal structure of ZnCuSe2. Source: Alexandria via LeMat-Bulk, functional PBE-GGA.

- Formation energy (no corrections): 0.64 eV/f.u.
- Total DFT energy (no corrections): -11.701 eV per formula unit
- Total magnetization: 0.00 μB per atom

Structure (POSCAR):
```
ZnCuSe2
1.0
2.815 0.000 0.000
0.000 2.815 0.000
0.000 0.000 9.701
Zn Cu Se
1 1 2
direct
0.000 0.000 0.000
0.500 0.500 0.175
0.000 0.000 0.375
0.500 0.500 0.760
```

***

Record 11
An optimized crystal structure of ZnCuSe2. Source: Alexandria via LeMat-Bulk, functional PBE-GGA.

- Formation energy (no corrections): -1.53 eV/f.u.
- Total DFT energy (no corrections): -13.869 eV per formula unit
- Total magnetization: 0.00 μB per atom

Structure (POSCAR):
```
ZnCuSe2
1.0
2.780 -2.780 0.000
2.780 2.780 0.000
-0.003 0.000 5.746
Zn Cu Se
1 1 2
direct
0.000 0.000 0.000
0.499 0.501 0.500
0.500 0.001 0.259
0.999 0.500 0.741
```

***

Record 12
An optimized crystal structure of ZnCuSe2. Source: Alexandria via LeMat-Bulk, functional PBE-GGA.

- Formation energy (no corrections): -1.02 eV/f.u.
- Total DFT energy (no corrections): -13.356 eV per formula unit
- Total magnetization: 0.00 μB per atom

Structure (POSCAR):
```
ZnCuSe2
1.0
3.906 0.000 0.000
-1.953 3.382 0.000
0.000 0.000 6.454
Zn Cu Se
1 1 2
direct
0.000 0.000 0.000
0.333 0.667 0.484
0.333 0.667 0.858
0.667 0.333 0.348
```

***

Q: total DFT energy (no corrections) of number 5 (ZnCuSe2)?
A: -13.288 eV per formula unit